Entry from Alexandria: an optimized crystal structure of Cs2SiI4 (PBE).

Calculated values
Total energy in eV for the cell shown: -39.56
Size of the total moment in μB per cell: 0.00
Space-group type: I4/mmm
Formation energy (no corrections) in meV/atom: -921

Structure (POSCAR):
```
Cs2SiI4
1.0
5.863 0.000 0.000
0.000 5.863 0.000
0.000 0.000 19.319
Cs Si I
4 2 8
direct
0.000 0.000 0.142
0.000 0.000 0.858
0.500 0.500 0.358
0.500 0.500 0.642
0.000 0.000 0.500
0.500 0.500 0.000
0.000 0.000 0.345
0.000 0.000 0.655
0.000 0.500 0.000
0.000 0.500 0.500
0.500 0.000 0.000
0.500 0.000 0.500
0.500 0.500 0.155
0.500 0.500 0.845
```